Entry 1:
Computed, not measured: Er4CdNi after structural relaxation at the PBE-GGA level of DFT.

```
24
Lattice="-2.351 -6.866 -6.075 4.776 -8.172 0.014 -4.147 -7.900 3.160" Properties=species:S:1:pos:R:3 pbc="T T T"
Er -0.600 -7.989 -1.011
Er -3.116 -12.782 0.907
Er 2.298 -12.948 -1.002
Er -2.027 -12.155 -4.697
Er -1.789 -8.602 -4.331
Er 0.067 -14.335 1.429
Er 2.650 -9.415 -0.539
Er -4.372 -13.522 -2.363
Er -2.907 -9.246 1.421
Er 1.185 -13.691 -4.322
Er -1.846 -15.490 -3.897
Er -0.737 -18.915 -0.455
Er 0.806 -15.976 -1.631
Er -3.389 -18.430 -2.721
Er -2.514 -15.875 -0.461
Er -0.069 -18.531 -3.892
Cd -1.001 -13.336 -1.687
Cd 0.349 -10.764 -2.716
Cd -2.556 -10.675 -1.692
Cd -0.236 -11.100 0.291
Ni -0.245 -3.266 -0.413
Ni -2.030 -6.666 0.947
Ni 1.811 -6.784 -0.407
Ni -1.257 -6.221 -3.029
```

Values from the calculation:
Energy of formation (eV per atom): -0.31
Space-group type: F-43m, No. 216
Crystal system: cubic

---

Entry 2:
Computed, not measured: ErCdNi after structural relaxation at the PBE-GGA level of DFT.

```
3
Lattice="-2.065 -3.568 1.884 -0.849 -3.698 -2.481 2.319 -3.820 0.759" Properties=species:S:1:pos:R:3 pbc="T T T"
Ni -0.149 -2.772 0.041
Cd -0.298 -5.543 0.081
Er 0.000 0.000 0.000
```

Values from the calculation:
Energy of formation (eV per atom): -0.23
Space-group type: F-43m, No. 216
Crystal system: cubic

---

Entry 3:
Computed, not measured: ErCdNi after structural relaxation at the PBE-GGA level of DFT.

```
18
Lattice="3.820 0.000 0.000 0.000 7.447 0.000 0.000 0.000 12.612" Properties=species:S:1:pos:R:3 pbc="T T T"
Er 0.000 1.674 12.032
Er 0.000 5.773 0.581
Er 0.000 1.674 6.887
Er 0.000 5.773 5.725
Er 0.000 1.175 3.153
Er 0.000 6.272 9.459
Cd 1.910 3.221 1.488
Cd 1.910 4.226 11.124
Cd 1.910 3.221 4.818
Cd 1.910 4.226 7.794
Cd 1.910 6.028 3.153
Cd 1.910 1.419 9.459
Ni 1.910 0.442 1.131
Ni 1.910 7.005 11.482
Ni 1.910 0.442 5.176
Ni 1.910 7.005 7.437
Ni 0.000 4.164 3.153
Ni 0.000 3.283 9.459
```

Values from the calculation:
Energy of formation (eV per atom): -0.38
Space-group type: Pmma, No. 51
Crystal system: orthorhombic

---

Entry 4:
Computed, not measured: ErCdNi after structural relaxation at the PBE-GGA level of DFT.

```
6
Lattice="-1.894 -0.607 3.365 1.616 -4.855 0.033 5.571 3.134 1.431" Properties=species:S:1:pos:R:3 pbc="T T T"
Ni 1.772 0.521 3.362
Ni 3.521 -2.851 1.467
Cd 1.017 -3.658 2.183
Cd 4.276 1.329 2.647
Er 3.496 -1.577 3.954
Er 1.796 -0.752 0.875
```

Values from the calculation:
Energy of formation (eV per atom): -0.36
Space-group type: C2/m, No. 12
Crystal system: monoclinic

---

Entry 5:
Computed, not measured: Er3CdNi after structural relaxation at the PBE-GGA level of DFT.

```
10
Lattice="-0.661 -3.666 0.739 -0.093 -1.700 -8.513 7.932 -2.015 -2.905" Properties=species:S:1:pos:R:3 pbc="T T T"
Er 5.923 -5.455 -4.913
Er 4.742 -4.544 -1.452
Er -0.078 -4.354 -4.820
Er 0.248 -1.471 0.009
Er 2.718 -5.328 -7.153
Er 3.144 -2.844 -4.211
Cd 5.616 -4.015 -7.809
Cd 1.366 -3.991 -1.730
Ni 1.649 -3.008 -6.358
Ni 5.662 -3.166 -3.554
```

Values from the calculation:
Energy of formation (eV per atom): -0.19
Space-group type: Cmmm, No. 65
Crystal system: orthorhombic

---

Entry 6:
Computed, not measured: ErCdNi2 after structural relaxation at the PBE-GGA level of DFT.

```
4
Lattice="3.323 0.000 0.000 0.000 3.323 0.000 0.000 0.000 6.169" Properties=species:S:1:pos:R:3 pbc="T T T"
Ni 0.000 0.000 4.533
Ni 0.000 0.000 1.636
Cd 1.661 1.661 3.085
Er 1.661 1.661 0.000
```

Values from the calculation:
Energy of formation (eV per atom): -0.20
Space-group type: P4/mmm, No. 123
Crystal system: tetragonal

---

Entry 7:
Computed, not measured: ErCdNi after structural relaxation at the PBE-GGA level of DFT.

```
3
Lattice="3.430 0.000 0.000 0.000 3.430 0.000 -1.715 -1.715 5.042" Properties=species:S:1:pos:R:3 pbc="T T T"
Ni 0.000 0.000 2.873
Er 1.715 1.715 4.331
Cd 1.715 1.715 1.367
```

Values from the calculation:
Energy of formation (eV per atom): -0.27
Space-group type: I4mm, No. 107
Crystal system: tetragonal

---

Entry 8:
Computed, not measured: Er5CdNi2 after structural relaxation at the PBE-GGA level of DFT.

```
16
Lattice="-6.378 3.968 -1.368 -4.142 -5.551 3.214 5.842 3.740 4.919" Properties=species:S:1:pos:R:3 pbc="T T T"
Er -2.004 0.906 5.147
Er -7.533 -1.251 3.365
Er 0.000 0.000 0.000
Er -5.260 -0.792 0.923
Er 2.854 3.408 3.400
Er -1.079 4.394 3.294
Er 1.930 -0.081 5.253
Er -3.600 -2.237 3.471
Er -6.609 2.237 1.512
Er -2.675 1.251 1.618
Cd -4.970 0.683 3.844
Cd 0.291 1.474 2.921
Ni -2.358 -1.556 1.020
Ni -4.537 1.781 -0.447
Ni -5.984 -3.364 2.293
Ni -8.163 -0.027 0.826
```

Values from the calculation:
Energy of formation (eV per atom): -0.32
Space-group type: I4/mcm, No. 140
Crystal system: tetragonal